(1)
A plane-wave DFT calculation with GGA-PBEsol was carried out for an optimized crystal structure of RbHf3Pt.

The formation energy is 54 kJ/mol of atoms. For the total magnetization, the calculation gives 0.00 μB per formula unit. The value obtained for the calculated density is 9.9 Mg/m³.

The structure in CIF format:
```
data_RbHf3Pt
_chemical_formula_sum 'Rb1 Hf3 Pt1'
_space_group_name_H-M_alt 'P m -3 m'
_space_group_IT_number 221
_space_group_name_Hall '-P 4 2 3'
_cell_length_a 5.159
_cell_length_b 5.159
_cell_length_c 5.159
_cell_angle_alpha 90.00
_cell_angle_beta 90.00
_cell_angle_gamma 90.00
loop_
_atom_site_label
_atom_site_type_symbol
_atom_site_fract_x
_atom_site_fract_y
_atom_site_fract_z
Rb1 Rb 0.000 0.000 0.000
Hf1 Hf 0.000 0.500 0.500
Pt1 Pt 0.500 0.500 0.500
```

=====

(2)
A plane-wave DFT calculation with GGA-PBEsol was carried out for an optimized crystal structure of Li3Ti3CrO8.

For the total magnetization, the calculation gives 1.54 μB per formula unit. The value obtained for the calculated density is 4.1 Mg/m³. Its formation energy without anion corrections is -2574 meV per atom.

The structure in CIF format:
```
data_Li3Ti3CrO8
_chemical_formula_sum 'Li9 Ti9 Cr3 O24'
_space_group_name_H-M_alt 'R -3 m'
_space_group_IT_number 166
_space_group_name_Hall '-R 3 2"'
_cell_length_a 5.7692
_cell_length_b 5.7692
_cell_length_c 14.6868
_cell_angle_alpha 90.00
_cell_angle_beta 90.00
_cell_angle_gamma 120.00
loop_
_atom_site_label
_atom_site_type_symbol
_atom_site_fract_x
_atom_site_fract_y
_atom_site_fract_z
Li1 Li 0.0000 0.5000 0.0000
Ti1 Ti 0.0000 0.5000 0.5000
Cr1 Cr 0.0000 0.0000 0.5000
O1 O 0.0000 0.0000 0.2462
O2 O 0.0066 0.5033 0.2415
```

=====

(3)
A plane-wave DFT calculation with GGA-PBEsol was carried out for an optimized crystal structure of ZnSe.

For the total magnetization, the calculation gives 0.00 μB per formula unit. The value obtained for the calculated density is 5.7 Mg/m³. Its formation energy without anion corrections is -355 meV per atom.

The structure in CIF format:
```
data_ZnSe
_chemical_formula_sum 'Zn4 Se4'
_space_group_name_H-M_alt 'C m c m'
_space_group_IT_number 63
_space_group_name_Hall '-C 2c 2'
_cell_length_a 3.598
_cell_length_b 12.988
_cell_length_c 3.610
_cell_angle_alpha 90.00
_cell_angle_beta 90.00
_cell_angle_gamma 90.00
loop_
_atom_site_label
_atom_site_type_symbol
_atom_site_fract_x
_atom_site_fract_y
_atom_site_fract_z
Zn1 Zn 0.000 0.175 0.250
Se1 Se 0.000 0.369 0.250
```

=====

(4)
A plane-wave DFT calculation with GGA-PBEsol was carried out for an optimized crystal structure of ReAs.

The formation energy is 51 kJ/mol of atoms. For the total magnetization, the calculation gives 0.00 μB per formula unit. The value obtained for the calculated density is 14.4 Mg/m³. The calculation puts the energy relative to the lowest polymorph listed for this composition at 0.4801 eV per atom.

The structure in CIF format:
```
data_ReAs
_chemical_formula_sum 'Re4 As4'
_space_group_name_H-M_alt 'I 41/a m d'
_space_group_IT_number 141
_cell_length_a 4.009
_cell_length_b 4.009
_cell_length_c 7.490
_cell_angle_alpha 90.00
_cell_angle_beta 90.00
_cell_angle_gamma 90.00
loop_
_space_group_symop_operation_xyz
'x,y,z'
'-x,-y,-z'
'-y+1/4,x+3/4,z+1/4'
'y+1/4,-x+3/4,-z+1/4'
'-x+1/2,-y,z+1/2'
'x+1/2,y,-z+1/2'
'y+1/4,-x+1/4,z+3/4'
'-y+1/4,x+1/4,-z+3/4'
'x,-y,-z'
'-x,y,z'
'-y+1/4,-x+1/4,-z+3/4'
'y+1/4,x+1/4,z+3/4'
'-x+1/2,y,-z+1/2'
'x+1/2,-y,z+1/2'
'y+1/4,x+3/4,-z+1/4'
'-y+1/4,-x+3/4,z+1/4'
'x+1/2,y+1/2,z+1/2'
'-x+1/2,-y+1/2,-z+1/2'
'-y+3/4,x+1/4,z+3/4'
'y+3/4,-x+1/4,-z+3/4'
'-x,-y+1/2,z'
'x,y+1/2,-z'
'y+3/4,-x+3/4,z+1/4'
'-y+3/4,x+3/4,-z+1/4'
'x+1/2,-y+1/2,-z+1/2'
'-x+1/2,y+1/2,z+1/2'
'-y+3/4,-x+3/4,-z+1/4'
'y+3/4,x+3/4,z+1/4'
'-x,y+1/2,-z'
'x,-y+1/2,z'
'y+3/4,x+1/4,-z+3/4'
'-y+3/4,-x+1/4,z+3/4'
loop_
_atom_site_label
_atom_site_type_symbol
_atom_site_fract_x
_atom_site_fract_y
_atom_site_fract_z
Re1 Re 0.000 0.250 0.375
As1 As 0.000 0.250 0.875
```

=====

(5)
A plane-wave DFT calculation with GGA-PBEsol was carried out for an optimized crystal structure of MgSbRuS2.

For the total magnetization, the calculation gives 0.00 μB per formula unit. The value obtained for the calculated density is 4.6 Mg/m³. Its formation energy without anion corrections is 111 meV per atom.

The structure in CIF format:
```
data_MgSbRuS2
_chemical_formula_sum 'Mg1 Sb1 Ru1 S2'
_space_group_name_H-M_alt 'P 4/m m m'
_space_group_IT_number 123
_space_group_name_Hall '-P 4 2'
_cell_length_a 4.419
_cell_length_b 4.419
_cell_length_c 5.716
_cell_angle_alpha 90.00
_cell_angle_beta 90.00
_cell_angle_gamma 90.00
loop_
_atom_site_label
_atom_site_type_symbol
_atom_site_fract_x
_atom_site_fract_y
_atom_site_fract_z
Mg1 Mg 0.000 0.000 0.000
Sb1 Sb 0.500 0.500 0.000
Ru1 Ru 0.500 0.500 0.500
S1 S 0.000 0.500 0.500
```

=====

(6)
A plane-wave DFT calculation with GGA-PBEsol was carried out for an optimized crystal structure of In2Ni3Se2.

For the total magnetization, the calculation gives 0.00 μB per formula unit. The value obtained for the calculated density is 8.1 Mg/m³. Its formation energy without anion corrections is -351 meV per atom.

The structure in CIF format:
```
data_In2Ni3Se2
_chemical_formula_sum 'In6 Ni9 Se6'
_space_group_name_H-M_alt 'R -3 m'
_space_group_IT_number 166
_space_group_name_Hall '-R 3 2"'
_cell_length_a 5.3424
_cell_length_b 5.3424
_cell_length_c 14.0670
_cell_angle_alpha 90.00
_cell_angle_beta 90.00
_cell_angle_gamma 120.00
loop_
_atom_site_label
_atom_site_type_symbol
_atom_site_fract_x
_atom_site_fract_y
_atom_site_fract_z
In1 In 0.0000 0.0000 0.0000
In2 In 0.0000 0.0000 0.5000
Ni1 Ni 0.0000 0.5000 0.0000
Se1 Se 0.0000 0.0000 0.2149
```

=====

(7)
A plane-wave DFT calculation with GGA-PBEsol was carried out for an optimized crystal structure of BaTl2Sb.

For the total magnetization, the calculation gives 0.00 μB per formula unit. The value obtained for the calculated density is 8.9 Mg/m³. The calculation puts the energy relative to the lowest polymorph listed for this composition at 0.1434 eV per atom. Its formation energy without anion corrections is -361 meV per atom.

The structure in CIF format:
```
data_BaTl2Sb
_chemical_formula_sum 'Ba4 Tl8 Sb4'
_space_group_name_H-M_alt 'F m -3 m'
_space_group_IT_number 225
_space_group_name_Hall '-F 4 2 3'
_cell_length_a 7.923
_cell_length_b 7.923
_cell_length_c 7.923
_cell_angle_alpha 90.00
_cell_angle_beta 90.00
_cell_angle_gamma 90.00
loop_
_atom_site_label
_atom_site_type_symbol
_atom_site_fract_x
_atom_site_fract_y
_atom_site_fract_z
Ba1 Ba 0.000 0.000 0.000
Tl1 Tl 0.250 0.250 0.250
Sb1 Sb 0.000 0.000 0.500
```

=====

(8)
A plane-wave DFT calculation with GGA-PBEsol was carried out for an optimized crystal structure of CoP2Pt.

The formation energy is 4 kJ/mol of atoms. For the total magnetization, the calculation gives 0.95 μB per formula unit. The value obtained for the calculated density is 10.2 Mg/m³.

The structure in CIF format:
```
data_CoP2Pt
_chemical_formula_sum 'Co1 P2 Pt1'
_space_group_name_H-M_alt 'P 4/m m m'
_space_group_IT_number 123
_space_group_name_Hall '-P 4 2'
_cell_length_a 4.023
_cell_length_b 4.023
_cell_length_c 3.175
_cell_angle_alpha 90.00
_cell_angle_beta 90.00
_cell_angle_gamma 90.00
loop_
_atom_site_label
_atom_site_type_symbol
_atom_site_fract_x
_atom_site_fract_y
_atom_site_fract_z
Co1 Co 0.000 0.000 0.000
P1 P 0.000 0.500 0.500
Pt1 Pt 0.500 0.500 0.000
```